# 1
This record from Alexandria via LeMat-Bulk describes a relaxed structure of LiInSe2. The functional is PBE.

Properties
- DFT total energy: -12.5 eV per cell
- Volume: 25.16 Å³ per atom

Cell lengths 3.1642, 3.1642, 10.0530 Å; angles 90.00, 90.00, 90.00 degrees
Space group P4mm (No. 99)
Unique sites:
1 Li 0.0000 0.0000 0.0000 [1 per cell]
2 In 0.5000 0.5000 0.7050 [1 per cell]
3 Se 0.0000 0.0000 0.5068 [1 per cell]
4 Se 0.5000 0.5000 0.1382 [1 per cell]

# 2
This record from Alexandria via LeMat-Bulk describes a relaxed structure of LiInSe2. The functional is PBE.

Properties
- DFT total energy: -28.6 eV per cell
- Volume: 24.80 Å³ per atom

Cell lengths 14.1059, 3.7227, 3.7788 Å; angles 90.00, 90.05, 90.00 degrees
Space group Cm (No. 8)
Unique sites:
1 Li 0.0000 0.0000 0.0000 [2 per cell]
2 In 0.2016 0.5000 0.5023 [2 per cell]
3 Se 0.0181 0.5000 0.5002 [2 per cell]
4 Se 0.2699 0.0000 0.0022 [2 per cell]

# 3
This record from Alexandria via LeMat-Bulk describes a relaxed structure of LiInSe2. The functional is PBE.

Properties
- DFT total energy: -52.1 eV per cell
- Volume: 21.47 Å³ per atom

Cell lengths 7.0030, 7.0030, 7.0030 Å; angles 90.00, 90.00, 90.00 degrees
Space group Fm-3m (No. 225)
Unique sites:
1 Li 0.0000 0.0000 0.0000 [4 per cell]
2 In 0.0000 0.0000 0.5000 [4 per cell]
3 Se 0.2500 0.2500 0.2500 [8 per cell]